Record 1
# Y2TmSnN4

Crystalline Y2TmSnN4 at its relaxed geometry (GGA-PBE, Alexandria).

extended XYZ file:
```
8
Lattice="-1.5511 0.7663 -2.9879 3.8148 -3.5983 -2.9033 -4.7970 -3.1149 1.6914" Properties=species:S:1:pos:R:3 pbc="T T T"
Y -3.1741 -1.1743 -0.6482
Y -0.4911 -3.3566 -0.6059
Tm 1.1318 -1.4160 -2.9456
Sn 0.0000 0.0000 0.0000
N -1.0039 -1.3242 -1.8133
N -1.5293 -4.6226 -2.3865
N -2.6190 -3.2630 0.5228
N 1.6368 -3.4501 -1.7346
```

Formation energy from raw total energies   -8.743 eV per formula unit
Calculated total energy   -63.45 eV/cell
SG   P2/m, No. 10

---

Record 2
# USnN

Crystalline USnN at its relaxed geometry (GGA-PBE, Alexandria).

extended XYZ file:
```
3
Lattice="-1.5972 2.6071 -0.7201 -2.2585 -1.7457 -1.3108 -1.0552 -0.7289 6.5524" Properties=species:S:1:pos:R:3 pbc="T T T"
U -3.2964 0.2939 1.5247
Sn -4.9107 0.1326 4.5212
N -1.6148 -0.1614 2.9972
```

Energy above the most stable polymorph in this dataset   280.4 meV/atom
Formation energy from raw total energies   -1.578 eV per formula unit
Calculated total energy   -25.19 eV/cell
SG   I4mm, No. 107

---

Record 3
# USnN

Crystalline USnN at its relaxed geometry (GGA-PBE, Alexandria).

extended XYZ file:
```
6
Lattice="-1.4823 2.8059 -0.3105 -0.7451 -1.9046 2.7177 8.4799 5.1353 5.9239" Properties=species:S:1:pos:R:3 pbc="T T T"
U -0.7812 1.3895 -0.0863
U 3.0532 2.1671 5.0080
Sn 1.0110 2.6180 2.4605
Sn 4.8376 4.9354 5.1337
N 6.9586 4.3604 6.1842
N 0.4291 0.4062 1.6227
```

Energy above the most stable polymorph in this dataset   675.8 meV/atom
Formation energy from raw total energies   -0.391 eV per formula unit
Calculated total energy   -48.02 eV/cell
SG   Amm2, No. 38

---

Record 4
# USnN

Crystalline USnN at its relaxed geometry (GGA-PBE, Alexandria).

extended XYZ file:
```
6
Lattice="4.0989 0.0000 0.0000 0.0000 4.0989 0.0000 0.0000 0.0000 7.4760" Properties=species:S:1:pos:R:3 pbc="T T T"
U 1.0247 1.0247 1.0256
U 3.0742 3.0742 6.4504
Sn 1.0247 3.0742 3.7380
Sn 3.0742 1.0247 3.7380
N 3.0742 1.0247 0.0000
N 1.0247 3.0742 7.4760
```

Energy above the most stable polymorph in this dataset   0.0 meV/atom
Formation energy from raw total energies   -2.419 eV per formula unit
Calculated total energy   -52.07 eV/cell
SG   P4/nmm, No. 129

---

Record 5
# U2SnN

Crystalline U2SnN at its relaxed geometry (GGA-PBE, Alexandria).

extended XYZ file:
```
4
Lattice="3.1939 0.0000 0.0000 1.5969 2.7660 0.0000 1.5969 0.9220 8.6171" Properties=species:S:1:pos:R:3 pbc="T T T"
U 4.7908 2.7660 7.1080
U 1.5969 0.9220 1.5091
Sn 3.1939 1.8440 4.3085
N 0.0000 0.0000 0.0000
```

Formation energy from raw total energies   -2.432 eV per formula unit
Calculated total energy   -37.34 eV/cell
SG   R-3m, No. 166

---

Record 6
# V6SnN

Crystalline V6SnN at its relaxed geometry (GGA-PBE, Alexandria).

extended XYZ file:
```
8
Lattice="4.8824 0.1930 0.0000 1.4206 6.1312 0.0000 0.7103 3.0656 3.7390" Properties=species:S:1:pos:R:3 pbc="T T T"
V 5.1332 5.6475 2.3312
V 4.4228 2.5819 1.4078
V 2.5905 6.8080 2.3312
V 1.8802 3.7424 1.4078
V 3.9804 4.9641 0.0000
V 2.3227 1.3602 0.0000
Sn 0.0000 0.0000 0.0000
N 3.1515 3.1621 0.0000
```

Formation energy from raw total energies   -1.702 eV per formula unit
Calculated total energy   -68.74 eV/cell
SG   C2/m, No. 12

---

Record 7
# VSn4N2

Crystalline VSn4N2 at its relaxed geometry (GGA-PBE, Alexandria).

extended XYZ file:
```
7
Lattice="-4.4077 1.0753 2.6140 -0.3500 -5.0128 1.4718 0.8191 -0.7553 6.9362" Properties=species:S:1:pos:R:3 pbc="T T T"
N -2.3280 -3.0156 7.8037
N -1.6107 -1.6773 3.2183
Sn -3.3781 -3.4141 6.1969
Sn -0.5606 -1.2788 4.8252
Sn -0.1750 -2.5064 0.7359
Sn -2.2039 0.5376 1.3070
V 0.0000 0.0000 0.0000
```

Formation energy from raw total energies   6.434 eV per formula unit
Calculated total energy   -35.35 eV/cell
SG   I4/mmm, No. 139

---

Record 8
# V2SnN

Crystalline V2SnN at its relaxed geometry (GGA-PBE, Alexandria).

extended XYZ file:
```
4
Lattice="-1.7780 -1.8133 1.8223 -2.1767 -1.8438 -1.2778 3.0235 -5.9902 -0.3298" Properties=species:S:1:pos:R:3 pbc="T T T"
N -0.4656 -4.8237 0.1074
Sn 0.0000 0.0000 0.0000
V -1.1650 -6.7228 0.2160
V 0.2338 -2.9246 -0.0013
```

Formation energy from raw total energies   -2.345 eV per formula unit
Calculated total energy   -32.91 eV/cell
SG   R-3m, No. 166